DFT (PBE) results for a relaxed structure of BaSrLa2Ru.

Computed properties:
The density comes out at 5.0 g cm⁻³. As for the total energy: -4.589 eV/atom. Its magnetization is 0.00 μB per formula unit. The density of states at the Fermi level is 5.14 states/eV/cell. As for the energy of formation from the pure elements: -4.1 kJ per mole of atoms. The calculation puts the energy above the lowest structure with this stoichiometry at 0.036 eV/atom.

Lattice parameters (Å, degrees): 5.572 5.572 6.442 90.00 90.00 90.00
Space group P4/mmm (No. 123)
Unique sites:
Ba 0.000 0.000 0.000
Sr 0.500 0.500 0.000
La 0.000 0.500 0.500
Ru 0.000 0.000 0.500